# 1
# AcTm2MgAg4 | Alexandria via LeMat-Bulk | GGA-PBE | optimized geometry
data_AcTm2MgAg4
_chemical_formula_sum 'Ac1 Tm2 Mg1 Ag4'
_cell_length_a 5.0337
_cell_length_b 5.0337
_cell_length_c 9.4479
_cell_angle_alpha 74.55
_cell_angle_beta 74.55
_cell_angle_gamma 60.00
_symmetry_space_group_name_H-M 'P 1'
_symmetry_Int_Tables_number 1
loop_
_symmetry_equiv_pos_as_xyz
'x,y,z'
loop_
_atom_site_label
_atom_site_fract_x
_atom_site_fract_y
_atom_site_fract_z
_atom_site_occupancy
Mg1 0.5000 0.5000 0.5000 1
Tm1 0.2372 0.2372 0.2884 1
Ag1 0.3969 0.3969 0.8092 1
Ag2 0.1248 0.1248 0.6255 1
Tm2 0.7628 0.7628 0.7116 1
Ag3 0.8752 0.8752 0.3745 1
Ac1 0.0000 0.0000 0.0000 1
Ag4 0.6031 0.6031 0.1908 1
# Magnetization = 0.000 μB per formula unit
# Calculated volume = 197.3 Å³/f.u.
# Energy of formation from the pure elements = -0.24 eV per atom

# 2
# Nb5V2Rh12 | Alexandria via LeMat-Bulk | GGA-PBE | optimized geometry
data_Nb5V2Rh12
_chemical_formula_sum 'Nb5 V2 Rh12'
_cell_length_a 5.4010
_cell_length_b 8.0660
_cell_length_c 8.4693
_cell_angle_alpha 109.45
_cell_angle_beta 90.00
_cell_angle_gamma 109.56
_symmetry_space_group_name_H-M 'P 1'
_symmetry_Int_Tables_number 1
loop_
_symmetry_equiv_pos_as_xyz
'x,y,z'
loop_
_atom_site_label
_atom_site_fract_x
_atom_site_fract_y
_atom_site_fract_z
_atom_site_occupancy
Rh1 0.9557 0.3800 0.1126 1
Nb1 0.3051 0.6102 0.6257 1
Nb2 0.0000 0.0000 0.5000 1
Nb3 0.6949 0.3898 0.3743 1
Nb4 0.6432 0.2863 0.8627 1
V1 0.2535 0.0000 0.0000 1
Rh2 0.4043 0.3074 0.6036 1
Rh3 0.0806 0.1611 0.2629 1
Rh4 0.9030 0.3074 0.6036 1
Rh5 0.0970 0.6926 0.3964 1
V2 0.7465 0.0000 0.0000 1
Rh6 0.4820 0.9640 0.6633 1
Rh7 0.5756 0.6200 0.8874 1
Rh8 0.4244 0.3800 0.1126 1
Rh9 0.5957 0.6926 0.3964 1
Rh10 0.0443 0.6200 0.8874 1
Rh11 0.9194 0.8389 0.7371 1
Rh12 0.5180 0.0360 0.3367 1
Nb5 0.3568 0.7137 0.1373 1
# Magnetization = 0.029 μB per formula unit
# Calculated volume = 325.2 Å³/f.u.
# Energy of formation from the pure elements = 0.00 eV per atom

# 3
# CaSiSb2 | Alexandria via LeMat-Bulk | GGA-PBE | optimized geometry
data_CaSiSb2
_chemical_formula_sum 'Ca1 Si1 Sb2'
_cell_length_a 4.0049
_cell_length_b 4.1745
_cell_length_c 6.8320
_cell_angle_alpha 64.12
_cell_angle_beta 90.00
_cell_angle_gamma 90.00
_symmetry_space_group_name_H-M 'P 1'
_symmetry_Int_Tables_number 1
loop_
_symmetry_equiv_pos_as_xyz
'x,y,z'
loop_
_atom_site_label
_atom_site_fract_x
_atom_site_fract_y
_atom_site_fract_z
_atom_site_occupancy
Si1 0.5000 0.2500 0.2500 1
Sb1 0.0000 0.4693 0.4756 1
Sb2 0.0000 0.0307 0.0244 1
Ca1 0.5000 0.7500 0.7500 1
# Magnetization = 0.000 μB per formula unit
# Calculated volume = 102.8 Å³/f.u.
# VASP energy = -16.17 eV per cell

# 4
# BiO2 | Alexandria via LeMat-Bulk | GGA-PBE | optimized geometry
data_BiO2
_chemical_formula_sum 'Bi2 O4'
_cell_length_a 3.7514
_cell_length_b 3.7514
_cell_length_c 7.9113
_cell_angle_alpha 90.00
_cell_angle_beta 90.00
_cell_angle_gamma 120.00
_symmetry_space_group_name_H-M 'P 1'
_symmetry_Int_Tables_number 1
loop_
_symmetry_equiv_pos_as_xyz
'x,y,z'
loop_
_atom_site_label
_atom_site_fract_x
_atom_site_fract_y
_atom_site_fract_z
_atom_site_occupancy
O1 0.6667 0.3333 0.1144 1
O2 0.3333 0.6667 0.8856 1
Bi1 0.6667 0.3333 0.7500 1
O3 0.6667 0.3333 0.3856 1
O4 0.3333 0.6667 0.6144 1
Bi2 0.3333 0.6667 0.2500 1
# E above lowest polymorph = 0.484 eV/atom
# Magnetization = 1.001 μB per formula unit
# Calculated volume = 48.2 Å³/f.u.

# 5
# NaAgSb2I | Alexandria via LeMat-Bulk | GGA-PBE | optimized geometry
data_NaAgSb2I
_chemical_formula_sum 'Na1 Ag1 Sb2 I1'
_cell_length_a 5.5774
_cell_length_b 5.2252
_cell_length_c 5.5774
_cell_angle_alpha 90.00
_cell_angle_beta 90.00
_cell_angle_gamma 90.00
_symmetry_space_group_name_H-M 'P 1'
_symmetry_Int_Tables_number 1
loop_
_symmetry_equiv_pos_as_xyz
'x,y,z'
loop_
_atom_site_label
_atom_site_fract_x
_atom_site_fract_y
_atom_site_fract_z
_atom_site_occupancy
Ag1 0.0000 0.5000 0.0000 1
Sb1 0.5000 0.0000 0.0000 1
Sb2 0.0000 0.0000 0.5000 1
Na1 0.0000 0.0000 0.0000 1
I1 0.5000 0.5000 0.5000 1
# E above lowest polymorph = 0.534 eV/atom
# Magnetization = 0.729 μB per formula unit
# Calculated volume = 162.5 Å³/f.u.

# 6
# La8OsRu3 | Alexandria via LeMat-Bulk | GGA-PBE | optimized geometry
data_La8OsRu3
_chemical_formula_sum 'La8 Os1 Ru3'
_cell_length_a 5.6405
_cell_length_b 9.1705
_cell_length_c 9.1007
_cell_angle_alpha 107.19
_cell_angle_beta 108.05
_cell_angle_gamma 90.00
_symmetry_space_group_name_H-M 'P 1'
_symmetry_Int_Tables_number 1
loop_
_symmetry_equiv_pos_as_xyz
'x,y,z'
loop_
_atom_site_label
_atom_site_fract_x
_atom_site_fract_y
_atom_site_fract_z
_atom_site_occupancy
La1 0.1196 0.6817 0.2393 1
La2 0.8811 0.3147 0.7623 1
La3 0.4446 0.6536 0.8892 1
Os1 0.2930 0.6912 0.5861 1
La4 0.3445 0.9938 0.6891 1
Ru1 0.6020 0.7034 0.2041 1
La5 0.5558 0.3418 0.1116 1
Ru2 0.7036 0.2957 0.4072 1
La6 0.7725 0.6643 0.5449 1
Ru3 0.3987 0.2942 0.7973 1
La7 0.2273 0.3320 0.4545 1
La8 0.6555 0.0033 0.3110 1
# Magnetization = 0.000 μB per formula unit
# Calculated volume = 425.4 Å³/f.u.
# Energy of formation from the pure elements = -0.17 eV per atom